Pm4Dy9Tm11: optimized geometry, PBE.

POSCAR file:
```
Pm4Dy9Tm11
1.0
3.5154 0.0000 0.0000
0.0000 14.2657 -3.2102
0.0000 2.6543 14.3795
Dy Tm Pm
9 11 4
Direct
0.5000 0.1287 0.6244
0.5000 0.6244 0.1287
0.5000 0.5000 0.5000
0.5000 0.2062 0.0375
0.5000 0.0375 0.2062
0.5000 0.9625 0.7938
0.5000 0.7938 0.9625
0.5000 0.3756 0.8713
0.5000 0.8713 0.3756
0.0000 0.9223 0.5852
0.0000 0.6590 0.3410
0.0000 0.5852 0.9223
0.0000 0.4148 0.0777
0.0000 0.0000 0.0000
0.0000 0.0777 0.4148
0.0000 0.2427 0.2427
0.0000 0.8315 0.1685
0.0000 0.3410 0.6590
0.0000 0.7573 0.7573
0.0000 0.1685 0.8315
0.5000 0.2784 0.4519
0.5000 0.4519 0.2784
0.5000 0.7216 0.5481
0.5000 0.5481 0.7216
```

Values from the calculation:
- Space-group type: Cmmm (65)
- Crystal system: orthorhombic
- Formation energy from the elements: 56.1 meV/atom
- DOS at the Fermi energy: 34.71 states/eV/cell